A geometry-optimized FeCu2Tc structure, computed with PBE.

Calculated values
* ΔE_f: 1.08 eV/f.u.
* ΔE to the lowest computed polymorph: 0.48 eV per formula unit

abc: 2.6145 2.6145 26.0103
angles: 90.00 90.00 120.00
With the nearest neighbours (Å) after each atom.
Space group R-3m (No. 166, hexagonal axes)
Unique sites:
Fe1 0.0000 0.0000 0.0000  6 Cu 2.59, 6 Fe 2.61
Cu1 0.0000 0.0000 0.2524  3 Fe 2.59, 6 Cu 2.61, 3 Tc 2.69
Tc1 0.0000 0.0000 0.5000  6 Tc 2.61, 6 Cu 2.69